#one
# Ge2HOs (PBE, relaxed)
data_Ge2HOs
_chemical_formula_sum 'Ge8 H4 Os4'
_cell_length_a 6.005
_cell_length_b 6.005
_cell_length_c 6.005
_cell_angle_alpha 90.00
_cell_angle_beta 90.00
_cell_angle_gamma 90.00
_space_group_name_H-M_alt 'F m -3 m'
_space_group_IT_number 225
_space_group_name_Hall '-F 4 2 3'
loop_
_atom_site_label
_atom_site_fract_x
_atom_site_fract_y
_atom_site_fract_z
Ge1 0.250 0.250 0.250
H1 0.000 0.000 0.000
Os1 0.000 0.000 0.500
# **Calculated volume**: 13.54 A^3/atom
# **Total magnetization**: 2.07 μB/cell

=====

#two
# Ge2HOs (PBE, relaxed)
data_Ge2HOs
_chemical_formula_sum 'Ge8 H4 Os4'
_cell_length_a 4.747
_cell_length_b 4.747
_cell_length_c 11.146
_cell_angle_alpha 90.00
_cell_angle_beta 90.00
_cell_angle_gamma 90.00
_space_group_name_H-M_alt 'I -4 2 d'
_space_group_IT_number 122
_space_group_name_Hall 'I -4 2bw'
loop_
_atom_site_label
_atom_site_fract_x
_atom_site_fract_y
_atom_site_fract_z
Ge1 0.172 0.250 0.125
H1 0.000 0.000 0.000
Os1 0.000 0.000 0.500
# **Calculated volume**: 15.70 A^3/atom
# **Total magnetization**: 0.00 μB/cell

=====

Of the structures shown above, #one is the most stable.